Computed, not measured: crystalline Tc2SbS at its relaxed geometry at the GGA-PBE level of DFT.

## Properties
The value obtained for the total energy is -6.92 eV/atom. As for the excess energy over the best structure of this formula in the dataset: 5.3 kJ/mol of atoms. The energy relative to the elements, uncorrected comes out at 0.322 eV per atom. As for the symmetry: I-42d, No. 122. Its total moment is 0.000 μB/f.u.

Lattice parameters (Å, degrees): 6.548 6.548 6.548 127.48 127.48 77.47
Fractional coordinates of all 8 atoms:
Tc: 0.070 0.625 0.945
Tc: 0.375 0.320 0.445
Tc: 0.680 0.125 0.055
Tc: 0.875 0.930 0.555
Sb: 0.250 0.750 0.500
Sb: 0.500 0.500 0.000
S: 0.000 0.000 0.000
S: 0.750 0.250 0.500

---

Computed, not measured: crystalline Tc2SbS at its relaxed geometry at the GGA-PBE level of DFT.

## Properties
The value obtained for the total energy is -6.98 eV/atom. As for the excess energy over the best structure of this formula in the dataset: 0.0 kJ/mol of atoms. The energy relative to the elements, uncorrected comes out at 0.268 eV per atom. As for the symmetry: Fm-3m, No. 225. Its total moment is 0.000 μB/f.u.

Lattice parameters (Å, degrees): 4.464 4.464 4.464 60.00 60.00 60.00
Fractional coordinates of all 4 atoms:
Tc: 0.250 0.250 0.250
Tc: 0.750 0.750 0.750
Sb: 0.000 0.000 0.000
S: 0.500 0.500 0.500

---

Computed, not measured: crystalline TcSbS3 at its relaxed geometry at the GGA-PBE level of DFT.

## Properties
The value obtained for the total energy is -5.13 eV/atom. As for the excess energy over the best structure of this formula in the dataset: 0.0 kJ/mol of atoms. The energy relative to the elements, uncorrected comes out at 0.247 eV per atom. As for the symmetry: Pm-3m, No. 221. Its total moment is 0.001 μB/f.u.

Lattice parameters (Å, degrees): 4.652 4.652 4.652 90.00 90.00 90.00
Fractional coordinates of all 5 atoms:
Tc: 0.000 0.000 0.000
Sb: 0.500 0.500 0.500
S: 0.000 0.000 0.500
S: 0.000 0.500 0.000
S: 0.500 0.000 0.000

---

Computed, not measured: crystalline TcSbTe2S at its relaxed geometry at the GGA-PBE level of DFT.

## Properties
The value obtained for the total energy is -4.36 eV/atom. As for the excess energy over the best structure of this formula in the dataset: 0.0 kJ/mol of atoms. The energy relative to the elements, uncorrected comes out at 0.618 eV per atom. As for the symmetry: P4/mmm, No. 123. Its total moment is 0.000 μB/f.u.

Lattice parameters (Å, degrees): 5.093 5.093 5.306 90.00 90.00 90.00
Fractional coordinates of all 5 atoms:
Tc: 0.000 0.000 0.000
Sb: 0.000 0.000 0.500
Te: 0.000 0.500 0.000
Te: 0.500 0.000 0.000
S: 0.500 0.500 0.500

---

Computed, not measured: crystalline TcSbTeS2 at its relaxed geometry at the GGA-PBE level of DFT.

## Properties
The value obtained for the total energy is -5.06 eV/atom. The energy relative to the elements, uncorrected comes out at 0.114 eV per atom. As for the symmetry: P4/mmm, No. 123. Its total moment is 0.000 μB/f.u.

Lattice parameters (Å, degrees): 4.492 4.492 5.886 90.00 90.00 90.00
Fractional coordinates of all 5 atoms:
Tc: 0.000 0.000 0.000
Sb: 0.000 0.000 0.500
Te: 0.500 0.500 0.500
S: 0.000 0.500 0.000
S: 0.500 0.000 0.000

---

Computed, not measured: crystalline TcSbTe2S at its relaxed geometry at the GGA-PBE level of DFT.

## Properties
The value obtained for the total energy is -3.76 eV/atom. As for the excess energy over the best structure of this formula in the dataset: 58.1 kJ/mol of atoms. The energy relative to the elements, uncorrected comes out at 1.220 eV per atom. As for the symmetry: P4/mmm, No. 123. Its total moment is 0.000 μB/f.u.

Lattice parameters (Å, degrees): 5.038 5.038 5.069 90.00 90.00 90.00
Fractional coordinates of all 5 atoms:
Tc: 0.000 0.000 0.000
Sb: 0.500 0.500 0.000
Te: 0.000 0.500 0.500
Te: 0.500 0.000 0.500
S: 0.500 0.500 0.500

---

Computed, not measured: crystalline Tl2TcSbS at its relaxed geometry at the GGA-PBE level of DFT.

## Properties
The value obtained for the total energy is -3.59 eV/atom. The energy relative to the elements, uncorrected comes out at 1.081 eV per atom. As for the symmetry: P4/mmm, No. 123. Its total moment is 3.825 μB/f.u.

Lattice parameters (Å, degrees): 5.464 5.464 5.209 90.00 90.00 90.00
Fractional coordinates of all 5 atoms:
Tl: 0.000 0.500 0.000
Tl: 0.500 0.000 0.000
Tc: 0.000 0.000 0.500
Sb: 0.500 0.500 0.500
S: 0.500 0.500 0.000

---

Computed, not measured: crystalline TlTcSb2S at its relaxed geometry at the GGA-PBE level of DFT.

## Properties
The value obtained for the total energy is -4.42 eV/atom. The energy relative to the elements, uncorrected comes out at 0.605 eV per atom. As for the symmetry: P4/mmm, No. 123. Its total moment is 0.784 μB/f.u.

Lattice parameters (Å, degrees): 5.501 5.501 4.359 90.00 90.00 90.00
Fractional coordinates of all 5 atoms:
Tl: 0.000 0.000 0.000
Tc: 0.500 0.500 0.000
Sb: 0.000 0.500 0.500
Sb: 0.500 0.000 0.500
S: 0.500 0.500 0.500